NaMnBrF2 | PBE with a Hubbard U | optimized geometry

## Properties
Electronic total energy: -5.025 eV per atom
Energy relative to the lowest polymorph listed for this composition: 0 meV/atom

Structure (extended XYZ):
```
10
Lattice="-1.8021 -3.2774 -1.6517 5.5827 -2.4432 -1.2431 1.3553 -3.9850 6.4285" Properties=species:S:1:pos:R:3 pbc="T T T"
Na 0.4778 -5.2348 2.2749
Br 1.8482 -4.6013 -0.4772
F 0.5401 -3.4031 3.6330
F 5.3040 -8.4040 3.2979
Mn 5.4849 -6.4311 4.2462
Mn -0.3491 -3.2745 -0.7126
F 4.5958 -6.3025 -0.0993
Br 3.2876 -5.1043 4.0109
Na 4.6580 -4.4708 1.2587
F -0.1681 -1.3016 0.2358
```